Computed, not measured: a relaxed structure of Tm2PuFeO8 at the GGA+U level of DFT.

## Properties
- Total magnetic moment: 5.995 μB/f.u.
- Symmetry: P2/m (10)
- Theoretical density: 7.82 g/cm³
- V: 13.54 Å³ per atom
- Uncorrected energy: -8.352 eV per atom

The structure in extended XYZ format:
```
12
Lattice="4.922 0.000 0.000 0.000 6.715 0.000 -0.255 0.000 4.917" Properties=species:S:1:pos:R:3 pbc="T T T"
Tm 0.000 1.593 0.000
Tm 0.000 5.121 0.000
Pu 2.333 3.357 2.459
Fe 2.333 0.000 2.459
O 0.970 3.357 1.008
O 1.011 0.000 1.058
O 1.382 1.788 3.353
O 1.382 4.927 3.353
O 3.285 1.788 1.564
O 3.285 4.927 1.564
O 3.656 0.000 3.859
O 3.697 3.357 3.909
```